1.
Entry from Alexandria: crystalline Rb2InAgF6 at its relaxed geometry (PBEsol).

```
10
Lattice="0.000 4.444 4.444 4.444 0.000 4.444 4.444 4.444 0.000" Properties=species:S:1:pos:R:3 pbc="T T T"
Rb 2.222 2.222 2.222
Rb 6.666 6.666 6.666
In 0.000 0.000 0.000
Ag 4.444 4.444 4.444
F 4.444 4.444 2.082
F 4.444 2.082 4.444
F 6.806 4.444 4.444
F 2.082 4.444 4.444
F 4.444 6.806 4.444
F 4.444 4.444 6.806
```

Values from the calculation:
- ΔE_f (raw) (meV per atom) = -2347


2.
Entry from Alexandria: crystalline Gd3AsO7 at its relaxed geometry (PBEsol).

```
44
Lattice="7.283 0.000 0.000 0.000 10.444 0.000 0.000 0.000 7.281" Properties=species:S:1:pos:R:3 pbc="T T T"
Gd 0.047 2.611 1.613
Gd 1.792 0.270 3.976
Gd 1.792 4.952 3.976
Gd 1.849 5.492 0.335
Gd 1.849 10.174 0.335
Gd 3.594 7.833 5.253
Gd 3.688 2.611 2.028
Gd 5.433 0.270 6.946
Gd 5.433 4.952 6.946
Gd 5.491 5.492 3.305
Gd 5.491 10.174 3.305
Gd 7.236 7.833 5.669
As 0.020 7.833 1.816
As 3.621 2.611 5.456
As 3.662 7.833 1.825
As 7.262 2.611 5.466
O 0.246 1.341 6.807
O 0.246 3.881 6.807
O 0.283 6.513 3.051
O 0.283 9.153 3.051
O 1.799 2.611 4.879
O 1.801 6.450 5.615
O 1.801 9.216 5.615
O 1.840 1.228 1.974
O 1.840 3.994 1.974
O 1.842 7.833 1.239
O 3.358 1.291 6.692
O 3.358 3.931 6.692
O 3.395 6.563 3.167
O 3.395 9.103 3.167
O 3.887 1.341 4.115
O 3.887 3.881 4.115
O 3.924 6.513 0.589
O 3.924 9.153 0.589
O 5.441 2.611 6.043
O 5.443 6.450 5.307
O 5.443 9.216 5.307
O 5.481 1.228 1.666
O 5.481 3.994 1.666
O 5.483 7.833 2.402
O 7.000 1.291 4.230
O 7.000 3.931 4.230
O 7.037 6.563 0.474
O 7.037 9.103 0.474
```

Values from the calculation:
- N(E_F) (states/eV/atom) = 0.00
- ΔE_f (raw) (meV per atom) = -2885


3.
Entry from Alexandria: crystalline NaSiAsBr2 at its relaxed geometry (PBEsol).

```
5
Lattice="5.277 0.000 0.000 0.000 5.277 0.000 0.000 0.000 4.799" Properties=species:S:1:pos:R:3 pbc="T T T"
Na 0.000 0.000 0.000
Si 2.638 2.638 2.400
As 2.638 2.638 0.000
Br 0.000 2.638 2.400
Br 2.638 0.000 2.400
```

Values from the calculation:
- N(E_F) (states/eV/atom) = 0.66
- ΔE_f (raw) (meV per atom) = -193


4.
Entry from Alexandria: crystalline RbZn2Hg at its relaxed geometry (PBEsol).

```
4
Lattice="0.000 3.696 3.696 3.696 0.000 3.696 3.696 3.696 0.000" Properties=species:S:1:pos:R:3 pbc="T T T"
Rb 0.000 0.000 0.000
Zn 1.848 1.848 1.848
Zn 5.544 5.544 5.544
Hg 3.696 3.696 3.696
```

Values from the calculation:
- total DFT energy (no corrections) (eV per atom) = -0.931
- N(E_F) (states/eV/atom) = 0.64


5.
Entry from Alexandria: crystalline In3IrBr at its relaxed geometry (PBEsol).

```
5
Lattice="5.140 0.000 0.000 0.000 5.140 0.000 0.000 0.000 5.140" Properties=species:S:1:pos:R:3 pbc="T T T"
In 0.000 0.000 2.570
In 0.000 2.570 0.000
In 2.570 0.000 0.000
Ir 0.000 0.000 0.000
Br 2.570 2.570 2.570
```

Values from the calculation:
- N(E_F) (states/eV/atom) = 0.43
- ΔE_f (raw) (meV per atom) = -330


6.
Entry from Alexandria: crystalline FeAs at its relaxed geometry (PBEsol).

```
4
Lattice="1.997 1.153 4.551 -1.997 1.153 4.551 0.000 -2.306 4.551" Properties=species:S:1:pos:R:3 pbc="T T T"
Fe 0.000 0.000 1.251
Fe 0.000 0.000 12.402
As 0.000 0.000 3.570
As 0.000 0.000 10.084
```

Values from the calculation:
- total DFT energy (no corrections) (eV per atom) = -6.824
- N(E_F) (states/eV/atom) = 1.01


no.,magnetic moment (μB per atom)
1,0.000
2,1.909
3,0.184
4,0.000
5,0.000
6,0.850